## i
The following is a DFT calculation (PBE) of a relaxed AlPbAu2 crystal.

Unit cell a=3.8801 b=6.5424 c=5.7109 alpha=39.15 beta=90.00 gamma=90.00
With the nearest neighbours (Å) after each atom.
Sites, in units of the cell vectors:
Au  0.5000  0.5000  0.0000  4 Al 2.85, 2 Pb 2.86
Au  0.0000  0.0000  0.0000  4 Pb 2.85, 2 Al 2.86
Al  0.0000  0.0000  0.5000  6 Au 2.85-2.86
Pb  0.5000  0.5000  0.5000  6 Au 2.85-2.86



## ii
The following is a DFT calculation (PBE) of a relaxed AlPbAu2 crystal.

Unit cell a=6.9637 b=4.7453 c=3.8285 alpha=87.25 beta=61.03 gamma=122.57
With the nearest neighbours (Å) after each atom.
Sites, in units of the cell vectors:
Al  0.5000  0.5000  0.0000  8 Au 2.98-3.12, 2 Pb 3.05
Au  0.5000  0.0000  0.5000  4 Pb 2.98-3.12, 4 Al 2.98-3.12, 2 Au 3.05
Au  0.0000  0.0000  0.0000  4 Al 2.98-3.12, 4 Pb 2.98-3.12, 2 Au 3.05
Pb  0.0000  0.5000  0.5000  8 Au 2.98-3.12, 2 Al 3.05



If you had to bet on the most stable structure above, which would it be? Bet on i.